Record 1
# GGA-PBE Ac2CeBi, optimized geometry
data_Ac2CeBi
_chemical_formula_sum 'Ac2 Ce1 Bi1'
_space_group_name_H-M_alt 'P 4/m m m'
_space_group_IT_number 123
_space_group_name_Hall '-P 4 2'
_cell_length_a 4.403
_cell_length_b 4.403
_cell_length_c 7.749
_cell_angle_alpha 90.00
_cell_angle_beta 90.00
_cell_angle_gamma 90.00
loop_
_atom_site_label
_atom_site_fract_x
_atom_site_fract_y
_atom_site_fract_z
Ac1 0.000 0.000 0.230
Ce1 0.500 0.500 0.500
Bi1 0.500 0.500 0.000
# N(E_F)	9.8	states/eV/f.u.
# offset from the most stable computed form	46	meV per atom
# E_tot	-19.1	eV/cell

Record 2
# GGA-PBE V2CoCu2, optimized geometry
data_V2CoCu2
_chemical_formula_sum 'V4 Co2 Cu4'
_space_group_name_H-M_alt 'P 4/m b m'
_space_group_IT_number 127
_space_group_name_Hall '-P 4 2ab'
_cell_length_a 6.374
_cell_length_b 6.374
_cell_length_c 3.159
_cell_angle_alpha 90.00
_cell_angle_beta 90.00
_cell_angle_gamma 90.00
loop_
_atom_site_label
_atom_site_fract_x
_atom_site_fract_y
_atom_site_fract_z
V1 0.172 0.328 0.000
Co1 0.000 0.000 0.500
Cu1 0.131 0.631 0.500
# N(E_F)	5.1	states/eV/f.u.
# E_tot	-63.5	eV/cell

no.,total magnetic moment (μB per formula unit)
1,1.786
2,0.212